VASP calculation (PBE) on crystalline SrLaPb3 at its relaxed geometry.

a = 6.0708 Å, b = 6.0708 Å, c = 6.0708 Å
α = 90.00°, β = 90.00°, γ = 90.00°
Closest atoms and distances in Å follow each position.
Positions (direct):
Pb 0.0000 0.5000 0.0000  2 La 3.04
Pb 0.0000 0.0000 0.5000  2 La 3.04
Pb 0.5000 0.0000 0.0000  2 La 3.04
Sr 0.5000 0.5000 0.5000  12 Pb 4.29
La 0.0000 0.0000 0.0000  6 Pb 3.04

As for the formation energy: 115 meV per atom. The calculation puts the energy relative to the lowest polymorph listed for this composition at 0.000 eV/atom. The density of states at the Fermi level is 5.44 states/eV/cell. The calculation puts the density at 6.29 g/cm3. Its electronic total energy is -3.432 eV per atom. The value obtained for the total magnetization is 0.00 μB/f.u.